(1)
# GaCoGe2O6

A relaxed structure of GaCoGe2O6 (PBE with a Hubbard U, the Alexandria database).

Total energy ... -6.029 eV/atom
Symmetry ... C2/c, No. 15

Lattice parameters (Å, degrees): 5.1153 6.5805 6.5805 80.50 80.08 80.08
Last column: nearest neighbours and their distance in Å.
Fractional coordinates of all 20 atoms:
O: 0.1722 0.3052 0.4171  2 Ge 1.89-1.92, 1 Ga 2.01
O: 0.6083 0.1513 0.6539  1 Ge 1.86, 1 Ga 1.91, 1 Co 1.94
O: 0.3278 0.5829 0.6948  2 Ge 1.89-1.92, 1 Ga 2.01
O: 0.3917 0.8487 0.3461  1 Ge 1.86, 1 Ga 1.91, 1 Co 1.94
O: 0.8766 0.0209 0.1865  1 Ge 1.93, 2 Co 1.96
O: 0.1083 0.6539 0.1513  1 Ge 1.86, 1 Ga 1.91, 1 Co 1.94
O: 0.8917 0.3461 0.8487  1 Ge 1.86, 1 Ga 1.91, 1 Co 1.94
O: 0.6722 0.4171 0.3052  2 Ge 1.89-1.92, 1 Ga 2.01
O: 0.8278 0.6948 0.5829  2 Ge 1.89-1.92, 1 Ga 2.01
O: 0.3766 0.1865 0.0209  1 Ge 1.93, 2 Co 1.96
O: 0.1234 0.9791 0.8135  1 Ge 1.93, 2 Co 1.96
O: 0.6234 0.8135 0.9791  1 Ge 1.93, 2 Co 1.96
Ga: 0.7500 0.7083 0.2917  4 O 1.91-2.01
Ga: 0.2500 0.2917 0.7083  4 O 1.91-2.01
Ge: 0.3693 0.4201 0.1666  4 O 1.86-1.93
Ge: 0.6307 0.5799 0.8334  4 O 1.86-1.93
Ge: 0.8693 0.1666 0.4201  4 O 1.86-1.93
Ge: 0.1307 0.8334 0.5799  4 O 1.86-1.93
Co: 0.2500 0.9155 0.0845  6 O 1.94-1.96
Co: 0.7500 0.0845 0.9155  6 O 1.94-1.96



(2)
# Ga2CoGeO6

A relaxed structure of Ga2CoGeO6 (PBE with a Hubbard U, the Alexandria database).

Total energy ... -6.167 eV/atom
Symmetry ... C2/c, No. 15

Lattice parameters (Å, degrees): 5.1905 6.5261 6.5261 86.52 83.99 83.99
Last column: nearest neighbours and their distance in Å.
Fractional coordinates of all 20 atoms:
Ga: 0.7937 0.2150 0.4112  4 O 1.83-1.90
Ga: 0.2063 0.7850 0.5888  4 O 1.83-1.90
Ga: 0.7063 0.5888 0.7850  4 O 1.83-1.90
Ga: 0.2937 0.4112 0.2150  4 O 1.83-1.90
O: 0.1285 0.2854 0.4568  2 Ga 1.90, 1 Ge 1.97
O: 0.9192 0.3584 0.8530  1 Ga 1.83, 1 Ge 1.86
O: 0.4192 0.8530 0.3584  1 Ga 1.83, 1 Ge 1.86
O: 0.8715 0.7146 0.5432  2 Ga 1.90, 1 Ge 1.97
O: 0.5808 0.1470 0.6416  1 Ga 1.83, 1 Ge 1.86
O: 0.0808 0.6416 0.1470  1 Ga 1.83, 1 Ge 1.86
O: 0.6300 0.7821 0.9885  1 Ga 1.87, 1 Ge 1.98
O: 0.3715 0.5432 0.7146  2 Ga 1.90, 1 Ge 1.97
O: 0.1300 0.9885 0.7821  1 Ga 1.87, 1 Ge 1.98
O: 0.3700 0.2179 0.0115  1 Ga 1.87, 1 Ge 1.98
O: 0.6285 0.4568 0.2854  2 Ga 1.90, 1 Ge 1.97
O: 0.8700 0.0115 0.2179  1 Ga 1.87, 1 Ge 1.98
Ge: 0.7500 0.7336 0.2664  6 O 1.86-1.98
Ge: 0.2500 0.2664 0.7336  6 O 1.86-1.98
Co: 0.7500 0.0836 0.9164  6 O 2.08-2.14
Co: 0.2500 0.9164 0.0836  6 O 2.08-2.14



| no. | total magnetization (μB/f.u.) |
| --- | --- |
| 1 | 0.00 |
| 2 | 3.00 |